(1)
First-principles (PBE-GGA) data for a geometry-optimized Ba6AuO2 structure, as listed in Alexandria.

Properties
Crystal system: monoclinic
Space-group type: C2/m
E above lowest polymorph (eV/atom): 0.045
Raw total energy (eV/atom): -3.947
Uncorrected formation energy (eV/atom): -1.199

Cell lengths 4.918, 8.185, 10.373 Å; angles 108.16, 90.00, 107.48 degrees
Sites, in units of the cell vectors:
1 O 0.223 0.446 0.132
2 O 0.777 0.554 0.868
3 Ba 0.075 0.150 0.240
4 Ba 0.348 0.696 0.372
5 Ba 0.925 0.850 0.760
6 Ba 0.325 0.651 0.963
7 Ba 0.675 0.349 0.037
8 Ba 0.652 0.304 0.628
9 Au 0.000 0.000 0.500



(2)
First-principles (PBE-GGA) data for a geometry-optimized Re3GePb structure, as listed in Alexandria.

Properties
Crystal system: cubic
Space-group type: Pm-3m
E above lowest polymorph (eV/atom): 0.000
Raw total energy (eV/atom): -7.380
ΔH_f (0 K) (meV per atom): 1754

Cell lengths 4.637, 4.637, 4.637 Å; angles 90.00, 90.00, 90.00 degrees
Last column: magnetic moment on the atom in μB.
Sites, in units of the cell vectors:
1 Re 0.000 0.000 0.500  0.81
2 Re 0.000 0.500 0.000  0.66
3 Re 0.500 0.000 0.000  0.63
4 Ge 0.000 0.000 0.000  -0.03
5 Pb 0.500 0.500 0.500  0.00



(3)
First-principles (PBE-GGA) data for a geometry-optimized HoSc3Tl2 structure, as listed in Alexandria.

Properties
Crystal system: orthorhombic
Space-group type: Pmc2_1
E above lowest polymorph (eV/atom): 0.000
Raw total energy (eV/atom): -4.963
ΔH_f (0 K) (meV per atom): -245

Cell lengths 4.816, 6.577, 9.457 Å; angles 90.00, 90.00, 90.00 degrees
Sites, in units of the cell vectors:
1 Tl 0.500 0.209 0.123
2 Tl 0.000 0.788 0.368
3 Tl 0.000 0.288 0.632
4 Tl 0.500 0.709 0.877
5 Sc 0.500 0.662 0.190
6 Sc 0.000 0.338 0.298
7 Sc 0.500 0.162 0.810
8 Sc 0.000 0.445 0.955
9 Sc 0.000 0.838 0.702
10 Sc 0.000 0.945 0.045
11 Ho 0.500 0.058 0.454
12 Ho 0.500 0.558 0.546



(4)
First-principles (PBE-GGA) data for a geometry-optimized Sr2TlPb2 structure, as listed in Alexandria.

Properties
Crystal system: orthorhombic
Space-group type: Immm
E above lowest polymorph (eV/atom): 0.057
Raw total energy (eV/atom): -3.000
ΔH_f (0 K) (meV per atom): -371

Cell lengths 4.919, 6.693, 6.696 Å; angles 64.89, 68.42, 68.45 degrees
Sites, in units of the cell vectors:
1 Pb 0.000 0.220 0.280
2 Pb 0.000 0.780 0.720
3 Sr 0.711 0.789 0.289
4 Sr 0.289 0.211 0.711
5 Tl 0.500 0.500 0.000